No. 1
Compound: AcNd4Y5
Source: Alexandria via LeMat-Bulk
Functional: PBE-GGA
Structure: relaxed

space group: P4/mmm (123)
energy relative to the lowest polymorph listed for this composition: 0 meV/atom
formation energy from the elements: 0.026 eV per atom

```
AcNd4Y5
1.0
-0.602 -0.852 -3.535
3.550 -0.914 -0.385
-5.438 -23.945 6.697
Ac Nd Y
1 4 5
direct
0.000 0.000 0.000 Ac
0.000 0.000 0.204 Nd
0.000 0.000 0.401 Nd
0.000 0.000 0.599 Nd
0.000 0.000 0.796 Nd
0.500 0.500 0.106 Y
0.500 0.500 0.303 Y
0.500 0.500 0.500 Y
0.500 0.500 0.697 Y
0.500 0.500 0.894 Y
```

***

No. 2
Compound: Na2TcO4
Source: Alexandria via LeMat-Bulk
Functional: PBE-GGA
Structure: relaxed

space group: Fd-3m (227)
energy relative to the lowest polymorph listed for this composition: 0 meV/atom
formation energy from raw total energies: -1.61 eV/atom

```
Na2TcO4
1.0
5.656 -0.036 3.235
-1.813 5.358 3.235
0.028 0.039 6.518
Na Tc O
4 2 8
direct
0.500 0.500 0.500 Na
0.500 0.000 0.500 Na
0.000 0.000 0.000 Na
0.500 0.000 0.000 Na
0.875 0.625 0.750 Tc
0.125 0.375 0.250 Tc
0.238 0.713 0.025 O
0.762 0.287 0.975 O
0.213 0.738 0.525 O
0.237 0.262 0.475 O
0.238 0.263 0.025 O
0.763 0.738 0.525 O
0.787 0.262 0.475 O
0.762 0.737 0.975 O
```

***

No. 3
Compound: CaScAl2
Source: Alexandria via LeMat-Bulk
Functional: PBE-GGA
Structure: relaxed

space group: F-43m (216)
energy relative to the lowest polymorph listed for this composition: 407 meV/atom
formation energy from the elements: 0.091 eV per atom

```
CaScAl2
1.0
4.996 0.000 0.000
2.498 4.327 0.000
2.498 1.442 4.079
Sc Ca Al
1 1 2
direct
0.750 0.750 0.750 Sc
0.500 0.500 0.500 Ca
0.000 0.000 0.000 Al
0.250 0.250 0.250 Al
```

***

No. 4
Compound: Zr2TeS
Source: Alexandria via LeMat-Bulk
Functional: PBE-GGA
Structure: relaxed

space group: R3m (160)
energy relative to the lowest polymorph listed for this composition: 0 meV/atom
formation energy from raw total energies: -1.10 eV/atom

```
Zr2TeS
1.0
-1.200 3.552 -0.519
-1.191 1.116 -3.415
-7.213 -0.377 0.295
Zr Te S
2 1 1
direct
0.066 0.066 0.801 Zr
0.270 0.270 0.191 Zr
0.498 0.498 0.506 Te
0.666 0.666 0.001 S
```

***

No. 5
Compound: K2CdIrN
Source: Alexandria via LeMat-Bulk
Functional: PBE-GGA
Structure: relaxed

space group: P4/mmm (123)
energy relative to the lowest polymorph listed for this composition: 136 meV/atom
formation energy from raw total energies: 0.12 eV/atom

```
K2CdIrN
1.0
-0.999 2.483 5.898
-6.111 -2.142 -0.134
1.086 -3.194 1.528
N K Ir Cd
1 2 1 1
direct
0.000 0.000 0.500 N
0.000 0.500 0.000 K
0.500 0.000 0.000 K
0.000 0.000 0.000 Ir
0.500 0.500 0.500 Cd
```

***

No. 6
Compound: SrSiSeN2
Source: Alexandria via LeMat-Bulk
Functional: PBE-GGA
Structure: relaxed

space group: P4/mmm (123)
energy relative to the lowest polymorph listed for this composition: 1564 meV/atom
formation energy from raw total energies: 1.61 eV/atom

```
SrSiSeN2
1.0
4.720 0.000 0.000
0.000 4.720 0.000
0.000 0.000 6.130
Sr Si Se N
1 1 1 2
direct
0.000 0.000 0.000 Sr
0.500 0.500 0.500 Si
0.000 0.000 0.500 Se
0.000 0.500 0.000 N
0.500 0.000 0.000 N
```

***

No. 7
Compound: Tm2PuGa9
Source: Alexandria via LeMat-Bulk
Functional: PBE-GGA
Structure: relaxed

space group: P4/mmm (123)
formation energy from the elements: -0.471 eV per atom

```
Tm2PuGa9
1.0
-0.109 1.783 3.854
-2.436 -3.185 1.404
10.443 -6.526 3.314
Tm Pu Ga
2 1 9
direct
0.000 0.000 0.335 Tm
0.000 0.000 0.665 Tm
0.000 0.000 0.000 Pu
0.500 0.500 0.000 Ga
0.500 0.500 0.332 Ga
0.500 0.500 0.668 Ga
0.500 0.000 0.167 Ga
0.500 0.000 0.500 Ga
0.500 0.000 0.833 Ga
0.000 0.500 0.167 Ga
0.000 0.500 0.500 Ga
0.000 0.500 0.833 Ga
```

***

No. 8
Compound: FeAuI4
Source: Alexandria via LeMat-Bulk
Functional: PBE-GGA
Structure: relaxed

space group: P-42c (112)
formation energy from raw total energies: -0.12 eV/atom

```
FeAuI4
1.0
-2.990 -5.749 0.304
5.322 -2.629 2.617
-3.995 2.647 10.784
Fe Au I
2 2 8
direct
0.000 0.500 0.250 Fe
0.500 0.000 0.750 Fe
0.000 0.000 0.000 Au
0.000 0.000 0.500 Au
0.274 0.239 0.871 I
0.726 0.761 0.871 I
0.239 0.274 0.371 I
0.274 0.761 0.629 I
0.726 0.239 0.629 I
0.239 0.726 0.129 I
0.761 0.274 0.129 I
0.761 0.726 0.371 I
```

***

No. 9
Compound: NaNpP2S8
Source: Alexandria via LeMat-Bulk
Functional: PBE-GGA
Structure: relaxed

space group: R-3 (148)
formation energy from raw total energies: -0.47 eV/atom

```
NaNpP2S8
1.0
6.099 0.000 0.000
3.050 5.282 0.000
3.050 1.761 9.206
Na Np P S
1 1 2 8
direct
0.500 0.500 0.500 Na
0.000 0.000 0.000 Np
0.251 0.251 0.247 P
0.749 0.749 0.753 P
0.180 0.180 0.461 S
0.590 0.293 0.170 S
0.820 0.820 0.539 S
0.946 0.590 0.170 S
0.054 0.410 0.830 S
0.293 0.946 0.170 S
0.707 0.054 0.830 S
0.410 0.707 0.830 S
```

***

No. 10
Compound: K2AgOs
Source: Alexandria via LeMat-Bulk
Functional: PBE-GGA
Structure: relaxed

space group: P2/m (10)
energy relative to the lowest polymorph listed for this composition: 195 meV/atom
formation energy from the elements: 1.060 eV per atom

```
K2AgOs
1.0
5.423 0.000 0.000
0.000 2.752 -0.056
0.000 2.502 6.097
Ag K Os
1 2 1
direct
0.500 0.750 0.750 Ag
0.000 0.981 0.006 K
0.000 0.519 0.494 K
0.500 0.250 0.250 Os
```

***

No. 11
Compound: PmNdNi2Ge2
Source: Alexandria via LeMat-Bulk
Functional: PBE-GGA
Structure: relaxed

space group: P-3m1 (164)
formation energy from the elements: -0.713 eV per atom

```
PmNdNi2Ge2
1.0
-0.980 -1.841 3.556
2.581 -1.844 -2.633
6.402 3.705 3.682
Pm Nd Ni Ge
1 1 2 2
direct
0.000 0.000 0.500 Pm
0.000 0.000 0.000 Nd
0.333 0.667 0.747 Ni
0.667 0.333 0.253 Ni
0.333 0.667 0.252 Ge
0.667 0.333 0.748 Ge
```

***

No. 12
Compound: Cd3GePt
Source: Alexandria via LeMat-Bulk
Functional: PBE-GGA
Structure: relaxed

space group: Pm-3m (221)
energy relative to the lowest polymorph listed for this composition: 0 meV/atom
formation energy from the elements: 0.282 eV per atom

```
Cd3GePt
1.0
5.160 0.000 0.000
0.000 5.160 0.000
0.000 0.000 5.160
Ge Pt Cd
1 1 3
direct
0.500 0.500 0.500 Ge
0.000 0.000 0.000 Pt
0.000 0.500 0.000 Cd
0.000 0.000 0.500 Cd
0.500 0.000 0.000 Cd
```

***

No. 13
Compound: Cs2NaAuF
Source: Alexandria via LeMat-Bulk
Functional: PBE-GGA
Structure: relaxed

space group: P4/mmm (123)
formation energy from raw total energies: -1.09 eV/atom

```
Cs2NaAuF
1.0
-2.574 -5.507 -0.025
5.413 -2.535 1.107
-0.801 0.353 4.727
Cs Na Au F
2 1 1 1
direct
0.000 0.500 0.000 Cs
0.500 0.000 0.000 Cs
0.000 0.000 0.500 Na
0.500 0.500 0.500 Au
0.000 0.000 0.000 F
```

***

No. 14
Compound: BaNaIn11
Source: Alexandria via LeMat-Bulk
Functional: PBE-GGA
Structure: relaxed

space group: C2/m (12)
formation energy from the elements: -0.117 eV per atom

```
BaNaIn11
1.0
-3.978 4.464 -2.381
-6.534 -3.351 -3.559
-5.727 2.451 5.467
Ba Na In
1 1 11
direct
0.000 0.000 0.000 Ba
0.500 0.500 0.000 Na
0.286 0.215 0.217 In
0.714 0.785 0.783 In
0.497 0.785 0.217 In
0.503 0.215 0.783 In
0.364 0.642 0.645 In
0.636 0.358 0.355 In
0.991 0.358 0.645 In
0.009 0.642 0.355 In
0.000 0.500 0.000 In
0.500 0.000 0.500 In
0.000 0.000 0.500 In
```

***

No. 15
Compound: Li3PmSc4S8
Source: Alexandria via LeMat-Bulk
Functional: PBE-GGA
Structure: relaxed

space group: R-3m (166)
formation energy from raw total energies: -1.82 eV/atom

```
Li3PmSc4S8
1.0
7.457 0.000 0.000
0.000 7.589 0.089
-3.729 -3.726 5.275
Li Pm Sc S
3 1 4 8
direct
0.500 0.500 0.000 Li
0.500 0.500 0.500 Li
0.000 0.500 0.500 Li
0.000 0.500 0.000 Pm
0.500 0.000 0.000 Sc
0.500 0.000 0.500 Sc
0.000 0.000 0.000 Sc
0.000 0.000 0.500 Sc
0.259 0.763 0.004 S
0.259 0.763 0.517 S
0.246 0.237 0.491 S
0.745 0.763 0.004 S
0.255 0.237 0.996 S
0.754 0.763 0.509 S
0.741 0.237 0.483 S
0.741 0.237 0.996 S
```

***

No. 16
Compound: HfTh2Pa
Source: Alexandria via LeMat-Bulk
Functional: PBE-GGA
Structure: relaxed

space group: P4/mmm (123)
energy relative to the lowest polymorph listed for this composition: 47 meV/atom
formation energy from the elements: 0.179 eV per atom

```
HfTh2Pa
1.0
-1.326 -1.101 -4.305
-0.490 -4.684 1.349
-4.669 0.841 1.223
Pa Hf Th
1 1 2
direct
0.500 0.500 0.500 Pa
0.500 0.000 0.000 Hf
0.000 0.000 0.500 Th
0.000 0.500 0.000 Th
```

***

No. 17
Compound: Na2UCu2O6
Source: Alexandria via LeMat-Bulk
Functional: PBE-GGA
Structure: relaxed

space group: P-31m (162)
formation energy from raw total energies: -1.74 eV/atom

```
Na2UCu2O6
1.0
5.362 0.000 0.000
-2.681 4.644 0.000
0.000 0.000 5.644
Na U Cu O
2 1 2 6
direct
0.333 0.667 0.500 Na
0.667 0.333 0.500 Na
0.000 0.000 0.000 U
0.333 0.667 0.000 Cu
0.667 0.333 0.000 Cu
0.333 0.333 0.797 O
0.000 0.667 0.797 O
0.667 0.000 0.797 O
0.667 0.667 0.203 O
0.000 0.333 0.203 O
0.333 0.000 0.203 O
```

***

No. 18
Compound: Pa2Ge3Ir5
Source: Alexandria via LeMat-Bulk
Functional: PBE-GGA
Structure: relaxed

space group: Cmc2_1 (36)
energy relative to the lowest polymorph listed for this composition: 65 meV/atom
formation energy from the elements: -0.579 eV per atom

```
Pa2Ge3Ir5
1.0
-0.222 -2.542 -3.287
3.360 -4.919 3.576
-10.513 -3.041 5.696
Pa Ge Ir
4 6 10
direct
0.474 0.747 0.947 Pa
0.180 0.742 0.359 Pa
0.820 0.242 0.641 Pa
0.526 0.247 0.053 Pa
0.782 0.691 0.564 Ge
0.602 0.588 0.205 Ge
0.056 0.929 0.112 Ge
0.218 0.191 0.436 Ge
0.944 0.429 0.888 Ge
0.398 0.088 0.795 Ge
0.388 0.462 0.775 Ir
0.274 0.493 0.548 Ir
0.726 0.993 0.452 Ir
0.116 0.242 0.231 Ir
0.307 0.918 0.614 Ir
0.956 0.053 0.912 Ir
0.693 0.418 0.386 Ir
0.884 0.742 0.769 Ir
0.044 0.553 0.088 Ir
0.612 0.962 0.225 Ir
```

***

No. 19
Compound: CaRe2Mo
Source: Alexandria via LeMat-Bulk
Functional: PBE-GGA
Structure: relaxed

space group: Cmmm (65)
energy relative to the lowest polymorph listed for this composition: 322 meV/atom
formation energy from the elements: 0.786 eV per atom

```
CaRe2Mo
1.0
5.496 -0.003 0.000
-2.721 4.775 0.000
0.000 0.000 2.618
Re Mo Ca
2 1 1
direct
0.000 0.000 0.000 Re
0.500 0.500 0.000 Re
0.000 0.500 0.500 Mo
0.500 0.000 0.500 Ca
```

***

No. 20
Compound: CdMo2Os
Source: Alexandria via LeMat-Bulk
Functional: PBE-GGA
Structure: relaxed

space group: P4mm (99)
formation energy from the elements: 0.349 eV per atom

```
CdMo2Os
1.0
-2.277 0.941 1.386
-1.628 -1.795 -1.456
1.165 -5.808 5.858
Cd Mo Os
1 2 1
direct
0.500 0.500 0.740 Cd
0.000 0.000 0.015 Mo
0.500 0.500 0.269 Mo
0.000 0.000 0.477 Os
```

***

No. 21
Compound: Ac3Be2SnPd9
Source: Alexandria via LeMat-Bulk
Functional: PBE-GGA
Structure: relaxed

space group: P-3m1 (164)
formation energy from the elements: -0.680 eV per atom

```
Ac3Be2SnPd9
1.0
-1.241 -4.854 -3.552
4.048 4.221 -1.874
6.889 -4.777 4.121
Ac Be Sn Pd
3 2 1 9
direct
0.333 0.667 0.660 Ac
0.000 0.000 0.000 Ac
0.667 0.333 0.340 Ac
0.333 0.667 0.143 Be
0.667 0.333 0.857 Be
0.000 0.000 0.500 Sn
0.833 0.167 0.717 Pd
0.833 0.666 0.717 Pd
0.334 0.167 0.717 Pd
0.666 0.833 0.283 Pd
0.167 0.334 0.283 Pd
0.167 0.833 0.283 Pd
0.500 0.000 0.000 Pd
0.000 0.500 0.000 Pd
0.500 0.500 0.000 Pd
```

***

No. 22
Compound: Mg2ZnO3
Source: Alexandria via LeMat-Bulk
Functional: PBE-GGA
Structure: relaxed

space group: Cmc2_1 (36)
energy relative to the lowest polymorph listed for this composition: 0 meV/atom
formation energy from raw total energies: -2.24 eV/atom

```
Mg2ZnO3
1.0
-5.177 0.226 -0.569
-0.154 -5.652 -0.842
-0.488 2.119 5.287
Mg Zn O
4 2 6
direct
0.551 0.834 0.502 Mg
0.051 0.498 0.166 Mg
0.551 0.502 0.834 Mg
0.051 0.166 0.498 Mg
0.049 0.832 0.832 Zn
0.549 0.168 0.168 Zn
0.935 0.832 0.496 O
0.435 0.504 0.168 O
0.935 0.496 0.832 O
0.435 0.168 0.504 O
0.437 0.832 0.832 O
0.937 0.168 0.168 O
```

***

No. 23
Compound: Sn2PO2
Source: Alexandria via LeMat-Bulk
Functional: PBE-GGA
Structure: relaxed

space group: I4/mmm (139)
energy relative to the lowest polymorph listed for this composition: 0 meV/atom
formation energy from raw total energies: -0.66 eV/atom

```
Sn2PO2
1.0
-2.018 1.440 2.671
-2.374 -2.747 -0.313
0.968 -3.859 5.298
P Sn O
1 2 2
direct
0.000 0.000 0.000 P
0.352 0.352 0.296 Sn
0.648 0.648 0.704 Sn
0.750 0.250 0.500 O
0.250 0.750 0.500 O
```

***

no.,VASP energy (eV for the cell shown)
1,-55.24
2,-88.21
3,-15.45
4,-28.75
5,-19.69
6,-19.17
7,-56.17
8,-37.28
9,-63.80
10,-12.04
11,-34.59
12,-11.99
13,-13.61
14,-34.89
15,-97.95
16,-33.57
17,-70.99
18,-165.88
19,-34.58
20,-32.41
21,-80.72
22,-65.56
23,-26.65